# 1
NbSnS2: PBEsol geometry, SCAN.

Output
Magnetization ... 0.00 μB/cell
Total energy ... -23.01 eV per atom

Cell: 3.301 3.301 17.350 Å, 90.00 90.00 120.00°
Fractional positions:
Nb 0.333 0.667 0.250
Nb 0.667 0.333 0.750
Sn 0.000 0.000 0.000
Sn 0.000 0.000 0.500
S 0.000 0.000 0.160
S 0.000 0.000 0.340
S 0.000 0.000 0.660
S 0.000 0.000 0.840

# 2
SrNbS3: PBEsol geometry, SCAN.

Output
Magnetization ... 0.99 μB/cell
Total energy ... -16.26 eV per atom

Cell: 5.220 5.220 5.220 Å, 90.00 90.00 90.00°
Fractional positions:
Sr 0.000 0.000 0.000
Nb 0.500 0.500 0.500
S 0.000 0.000 0.500
S 0.000 0.500 0.000
S 0.500 0.000 0.000

# 3
Ta6Nb3Te2S3: PBEsol geometry, SCAN.

Output
Magnetization ... 0.00 μB/cell
Total energy ... -43.60 eV per atom

Cell: 12.190 3.397 13.539 Å, 90.00 112.46 90.00°
Fractional positions:
Ta 0.020 0.250 0.091
Ta 0.047 0.750 0.265
Ta 0.166 0.750 0.780
Ta 0.177 0.250 0.952
Ta 0.217 0.750 0.134
Ta 0.250 0.250 0.310
Ta 0.750 0.750 0.690
Ta 0.783 0.250 0.866
Ta 0.823 0.750 0.048
Ta 0.834 0.250 0.220
Ta 0.953 0.250 0.735
Ta 0.980 0.750 0.909
Nb 0.056 0.250 0.438
Nb 0.406 0.250 0.911
Nb 0.421 0.250 0.154
Nb 0.579 0.750 0.846
Nb 0.594 0.750 0.089
Nb 0.944 0.750 0.562
Te 0.259 0.750 0.482
Te 0.447 0.750 0.335
Te 0.553 0.250 0.665
Te 0.741 0.250 0.518
S 0.108 0.250 0.635
S 0.339 0.750 0.012
S 0.360 0.750 0.765
S 0.640 0.250 0.235
S 0.661 0.250 0.988
S 0.892 0.750 0.365

# 4
TaNbTl2S: PBEsol geometry, SCAN.

Output
Magnetization ... 3.49 μB/cell
Total energy ... -49.93 eV per atom

Cell: 5.423 5.423 4.525 Å, 90.00 90.00 90.00°
Fractional positions:
Ta 0.000 0.000 0.000
Nb 0.500 0.500 0.500
Tl 0.000 0.500 0.000
Tl 0.500 0.000 0.000
S 0.000 0.000 0.500

> Which of these has the highest magnetization?

TaNbTl2S

> total energy of number 3 (Ta6Nb3Te2S3)?

-43.60 eV per atom

> total energy of number 4 (TaNbTl2S)?

-49.93 eV per atom